# 1
## Ce2NdGa (PBE)

Data for a geometry-optimized Ce2NdGa structure.

abc: 3.8717 3.8717 7.5335
angles: 90.00 90.00 90.00
With the nearest neighbours (Å) after each atom.
Sites, in units of the cell vectors:
Ce 0.0000 0.0000 0.1870  1 Ce 2.82, 4 Ga 3.08
Ce 0.0000 0.0000 0.8130  1 Ce 2.82, 4 Ga 3.08
Nd 0.5000 0.5000 0.5000  8 Ce 3.61, 2 Ga 3.77, 4 Nd 3.87
Ga 0.5000 0.5000 0.0000  8 Ce 3.08

Energy above the most stable polymorph in this dataset: 105 meV per atom
Volume: 112.9 Å³ per cell
Formation energy: -17 kJ/mol of atoms

# 2
## Ce4NdGa5 (PBE)

Data for a geometry-optimized Ce4NdGa5 structure.

abc: 3.3320 3.3320 21.0563
angles: 90.00 90.00 90.00
With the nearest neighbours (Å) after each atom.
Sites, in units of the cell vectors:
Ce 0.0000 0.0000 0.0996  8 Ga 3.15-3.16, 4 Ce 3.33
Ce 0.0000 0.0000 0.2996  8 Ga 3.14-3.16, 4 Ce 3.33
Ce 0.0000 0.0000 0.7004  8 Ga 3.14-3.16, 4 Ce 3.33
Ce 0.0000 0.0000 0.9004  8 Ga 3.15-3.16, 4 Ce 3.33
Nd 0.0000 0.0000 0.5000  8 Ga 3.18, 4 Nd 3.33
Ga 0.5000 0.5000 0.0000  8 Ce 3.15, 4 Ga 3.33
Ga 0.5000 0.5000 0.1996  8 Ce 3.16, 4 Ga 3.33
Ga 0.5000 0.5000 0.3982  4 Ce 3.14, 4 Nd 3.18, 4 Ga 3.33
Ga 0.5000 0.5000 0.6018  4 Ce 3.14, 4 Nd 3.18, 4 Ga 3.33
Ga 0.5000 0.5000 0.8004  8 Ce 3.16, 4 Ga 3.33

Volume: 233.8 Å³ per cell
Formation energy: -48 kJ/mol of atoms